DFT (PBE) results for Er3VGa12 after structural relaxation.

Results
* energy relative to the elements: -0.40 eV per atom
* space group: No. 123

Cell lengths 4.2051, 4.2051, 16.4925 Å; angles 90.00, 90.00, 90.00 degrees
With the nearest neighbours (Å) after each atom.
Atoms (fractional coordinates):
Ga 0.5000 0.5000 0.2441  8 Ga 2.96-3.05, 4 Er 2.98
Ga 0.5000 0.0000 0.8903  8 Ga 2.77-3.05, 2 V 2.77, 2 Er 2.98
Ga 0.5000 0.0000 0.6300  8 Ga 2.96-3.00, 4 Er 3.00-3.03
Ga 0.0000 0.5000 0.6300  8 Ga 2.96-3.00, 4 Er 3.00-3.03
V 0.0000 0.0000 0.0000  12 Ga 2.77-2.97
Ga 0.5000 0.0000 0.3700  8 Ga 2.96-3.00, 4 Er 3.00-3.03
Ga 0.0000 0.5000 0.8903  2 V 2.77, 8 Ga 2.77-3.05, 2 Er 2.98
Ga 0.0000 0.5000 0.3700  8 Ga 2.96-3.00, 4 Er 3.00-3.03
Er 0.0000 0.0000 0.5000  12 Ga 2.97-3.00
Ga 0.5000 0.5000 0.7559  8 Ga 2.96-3.05, 4 Er 2.98
Er 0.0000 0.0000 0.2381  12 Ga 2.98-3.03
Ga 0.5000 0.5000 0.0000  8 Ga 2.77, 4 V 2.97
Ga 0.5000 0.5000 0.5000  4 Er 2.97, 8 Ga 3.00
Ga 0.5000 0.0000 0.1097  8 Ga 2.77-3.05, 2 V 2.77, 2 Er 2.98
Ga 0.0000 0.5000 0.1097  8 Ga 2.77-3.05, 2 V 2.77, 2 Er 2.98
Er 0.0000 0.0000 0.7619  12 Ga 2.98-3.03